Record 1
First-principles (PBE) data for a geometry-optimized Al3BiF structure, as listed in the Alexandria database.

Output
- DOS(E_F) (states/eV/atom) = 0.486
- calculated volume (A^3/atom) = 20.7
- E above lowest polymorph (eV/atom) = 0.000
- raw formation energy (eV/atom) = -0.2312

Lattice parameters (Å, degrees): 4.694 4.694 4.694 90.00 90.00 90.00
Atoms (fractional coordinates):
1 F 0.000 0.000 0.000
2 Bi 0.500 0.500 0.500
3 Al 0.000 0.500 0.000
4 Al 0.000 0.000 0.500
5 Al 0.500 0.000 0.000



Record 2
First-principles (PBE) data for a geometry-optimized Al2BiF structure, as listed in the Alexandria database.

Output
- DOS(E_F) (states/eV/atom) = 0.184
- calculated volume (A^3/atom) = 20.3
- E above lowest polymorph (eV/atom) = 0.163
- raw formation energy (eV/atom) = -0.4112

Lattice parameters (Å, degrees): 4.858 4.858 4.858 60.00 60.00 60.00
Atoms (fractional coordinates):
1 F 0.000 0.000 0.000
2 Bi 0.500 0.500 0.500
3 Al 0.250 0.250 0.250
4 Al 0.750 0.750 0.750



Record 3
First-principles (PBE) data for a geometry-optimized AlBiF2 structure, as listed in the Alexandria database.

Output
- DOS(E_F) (states/eV/atom) = 0.578
- calculated volume (A^3/atom) = 21.3
- E above lowest polymorph (eV/atom) = 0.195
- raw formation energy (eV/atom) = -1.5100

Lattice parameters (Å, degrees): 9.409 9.409 9.409 20.01 20.01 20.01
Atoms (fractional coordinates):
1 F 0.939 0.939 0.939
2 F 0.061 0.061 0.061
3 Bi 0.500 0.500 0.500
4 Al 0.000 0.000 0.000